The following is a DFT calculation (GGA-PBE) of crystalline La2GeTe5 at its relaxed geometry.

CIF file:
```
data_La2GeTe5
_chemical_formula_sum 'La4 Ge2 Te10'
_symmetry_space_group_name_H-M 'P 1'
_symmetry_Int_Tables_number 1
_symmetry_space_group_name_Hall 'P 1'
_cell_length_a 8.428
_cell_length_b 8.428
_cell_length_c 13.862
_cell_angle_alpha 90.00
_cell_angle_beta 90.00
_cell_angle_gamma 135.41
loop_
_atom_site_label
_atom_site_type_symbol
_atom_site_fract_x
_atom_site_fract_y
_atom_site_fract_z
_atom_site_occupancy
La1 La 0.172 0.828 0.577 1
La2 La 0.172 0.828 0.923 1
La3 La 0.828 0.172 0.077 1
La4 La 0.828 0.172 0.423 1
Ge1 Ge 0.197 0.803 0.250 1
Ge2 Ge 0.803 0.197 0.750 1
Te1 Te 0.032 0.968 0.096 1
Te2 Te 0.032 0.968 0.404 1
Te3 Te 0.303 0.697 0.750 1
Te4 Te 0.311 0.689 0.096 1
Te5 Te 0.311 0.689 0.404 1
Te6 Te 0.689 0.311 0.596 1
Te7 Te 0.689 0.311 0.904 1
Te8 Te 0.697 0.303 0.250 1
Te9 Te 0.968 0.032 0.596 1
Te10 Te 0.968 0.032 0.904 1
```

Values from the calculation:
The space-group type is No. 63. The calculation puts the electronic total energy at -4.633 eV per atom.